1.
Mg2PaOsN4 | PBE | optimized geometry

a = 3.263 Å, b = 6.054 Å, c = 10.559 Å
α = 90.00°, β = 90.00°, γ = 105.63°
Positions (direct):
Mg (0.388, 0.775, 0.537)
Mg (0.612, 0.225, 0.037)
Mg (0.612, 0.225, 0.463)
Mg (0.388, 0.775, 0.963)
Pa (0.088, 0.177, 0.750)
Pa (0.912, 0.823, 0.250)
Os (0.826, 0.653, 0.750)
Os (0.174, 0.347, 0.250)
N (0.302, 0.604, 0.133)
N (0.698, 0.396, 0.633)
N (0.698, 0.396, 0.867)
N (0.302, 0.604, 0.367)
N (0.000, 0.000, 0.500)
N (0.000, 0.000, 0.000)
N (0.435, 0.871, 0.750)
N (0.565, 0.129, 0.250)

Computed properties:
- energy relative to the elements, uncorrected (eV per atom) = -0.50
- space group = Cmcm, No. 63
- crystal system = orthorhombic
- D(E_F) (states/eV/cell) = 9.34

2.
SrIn2Ga | PBE | optimized geometry

a = 4.581 Å, b = 4.581 Å, c = 10.788 Å
α = 90.00°, β = 90.00°, γ = 90.00°
Positions (direct):
Sr (0.500, 0.000, 0.245)
Sr (0.000, 0.500, 0.755)
In (0.500, 0.000, 0.939)
In (0.000, 0.500, 0.061)
In (0.000, 0.000, 0.500)
In (0.500, 0.500, 0.500)
Ga (0.500, 0.000, 0.668)
Ga (0.000, 0.500, 0.332)

Computed properties:
- space group = P4/nmm, No. 129
- crystal system = tetragonal
- energy relative to the elements (meV/atom) = -311
- D(E_F) (states/eV/cell) = 2.52

3.
Nd2MgGa | PBE | optimized geometry

a = 3.746 Å, b = 3.746 Å, c = 7.776 Å
α = 90.00°, β = 90.00°, γ = 90.00°
Positions (direct):
Mg (0.500, 0.500, 0.500)
Nd (0.000, 0.000, 0.768)
Nd (0.000, 0.000, 0.232)
Ga (0.500, 0.500, 0.000)

Computed properties:
- space group = P4/mmm, No. 123
- crystal system = tetragonal
- energy relative to the elements (meV/atom) = -327
- D(E_F) (states/eV/cell) = 3.91

4.
MgIn2I5 | PBE | optimized geometry

a = 6.253 Å, b = 8.203 Å, c = 14.813 Å
α = 90.00°, β = 90.00°, γ = 112.40°
Positions (direct):
Mg (0.804, 0.608, 0.750)
Mg (0.196, 0.392, 0.250)
In (0.845, 0.690, 0.427)
In (0.845, 0.690, 0.073)
In (0.155, 0.310, 0.573)
In (0.155, 0.310, 0.927)
I (0.941, 0.882, 0.883)
I (0.941, 0.882, 0.617)
I (0.328, 0.655, 0.400)
I (0.328, 0.655, 0.100)
I (0.704, 0.409, 0.250)
I (0.296, 0.591, 0.750)
I (0.672, 0.345, 0.600)
I (0.672, 0.345, 0.900)
I (0.059, 0.118, 0.117)
I (0.059, 0.118, 0.383)

Computed properties:
- energy relative to the elements, uncorrected (eV per atom) = -0.59
- space group = Cmcm, No. 63
- crystal system = orthorhombic
- D(E_F) (states/eV/cell) = 5.22